Crystalline K3Pm2InS6 at its relaxed geometry, computed with PBE.

Cell and atoms, written as POSCAR:
```
K3Pm2InS6
1.0
3.5407 -6.1347 0.0000
3.5407 6.1347 0.0000
-2.3643 0.0000 7.4159
K Pm In S
3 2 1 6
Cartesian
0.0000 0.0000 0.0000
3.5407 2.0525 0.0000
3.5407 -2.0525 0.0000
2.3585 4.0907 3.7080
2.3585 -4.0907 3.7080
2.3585 0.0000 3.7080
1.2214 1.9718 2.1945
0.0858 0.0000 5.2184
1.2214 -1.9718 2.1945
3.4957 1.9718 5.2214
4.6313 0.0000 2.1975
3.4957 -1.9718 5.2214
```

Its space-group type is C2/m (12). The density of states at the Fermi level comes out at 0.00 states/eV/f.u. The value obtained for the total magnetic moment is 0.000 μB per atom. The value obtained for the density is 3.7 g/cm3. For the uncorrected energy, the calculation gives -58.4 eV for the cell shown.

Crystalline K2PmInS4 at its relaxed geometry, computed with PBE.

Cell and atoms, written as POSCAR:
```
K2PmInS4
1.0
-4.1107 4.2380 5.9683
4.1107 -4.2380 5.9683
4.1107 4.2380 -5.9683
K Pm In S
4 2 2 8
Cartesian
0.0000 0.0000 0.0000
-2.0554 2.1190 2.9842
0.0000 4.2380 0.0000
2.0554 2.1190 2.9842
4.1107 0.0000 0.0000
0.0000 0.0000 5.9683
2.0554 2.1190 -2.9842
2.0554 -2.1190 2.9842
4.1107 -0.3316 2.8708
4.1107 3.9064 -2.8708
2.2412 2.1190 -0.1815
5.9803 2.1190 -0.1815
-1.8696 2.1190 6.1498
1.8696 2.1190 6.1498
0.0000 0.3316 8.8392
0.0000 4.5696 3.0975
```

Its space-group type is Imma (74). The value obtained for the total magnetic moment is 0.000 μB per atom. The value obtained for the density is 3.7 g/cm3. For the uncorrected energy, the calculation gives -73.3 eV for the cell shown.

no.,ΔE_f (raw) (kcal/mol of atoms)
1,-34.8
2,-30.2